## Pr8InAg2 (PBE-GGA)

Data for a relaxed Pr8InAg2 crystal.

Values from the calculation:
ΔE_f in meV/atom: -158
Energy in eV/cell: -96.83

abc: 16.813 5.483 8.723
angles: 90.00 119.83 90.00
Space group C2/m (No. 12)
Unique sites:
Pr 0.070 0.000 0.225
Pr 0.097 0.500 0.954
Pr 0.142 0.000 0.701
Pr 0.184 0.500 0.462
In 0.000 0.500 0.500
Ag 0.225 0.000 0.117